(1)
This record from Alexandria describes a crystal of Al2ZnIn relaxed with PBEsol. The functional is meta-GGA SCAN.

It has space group P4mm (No. 99), with a = 2.9776 Å, b = 2.9776 Å, c = 8.1348 Å, α = 90.00°, β = 90.00° and γ = 90.00°. The asymmetric unit holds Al at (0.0000, 0.0000, 0.0000), Al at (0.5000, 0.5000, 0.2333), Zn at (0.5000, 0.5000, 0.7835) and In at (0.0000, 0.0000, 0.5167).

The total energy comes out at -15.500 eV/atom. The value obtained for the formation energy from the elements is 0.10 eV per atom.


(2)
This record from Alexandria describes a crystal of Be2AlSiRu relaxed with PBEsol. The functional is meta-GGA SCAN.

It has space group P4/mmm (No. 123), with a = 4.1273 Å, b = 4.1273 Å, c = 4.4660 Å, α = 90.00°, β = 90.00° and γ = 90.00°. The asymmetric unit holds Be at (0.0000, 0.5000, 0.0000), Al at (0.0000, 0.0000, 0.0000), Si at (0.5000, 0.5000, 0.5000) and Ru at (0.0000, 0.0000, 0.5000).

The total energy comes out at -11.038 eV/atom. The uncorrected formation energy is 6.1 eV per formula unit.


(3)
This record from Alexandria describes a crystal of ZrFe4Tc relaxed with PBEsol. The functional is meta-GGA SCAN.

It has space group F-43m (No. 216), with a = 6.6861 Å, b = 6.6861 Å, c = 6.6861 Å, α = 90.00°, β = 90.00° and γ = 90.00°. The asymmetric unit holds Zr at (0.0000, 0.0000, 0.0000), Fe at (0.1249, 0.1249, 0.3751) and Tc at (0.2500, 0.2500, 0.7500).

The total energy comes out at -23.080 eV/atom. The value obtained for the formation energy from the elements is -0.03 eV per atom.


(4)
This record from Alexandria describes a crystal of YSe relaxed with PBEsol. The functional is meta-GGA SCAN.

It has space group Fm-3m (No. 225), with a = 5.6876 Å, b = 5.6876 Å, c = 5.6876 Å, α = 90.00°, β = 90.00° and γ = 90.00°. The asymmetric unit holds Y at (0.0000, 0.0000, 0.0000) and Se at (0.0000, 0.0000, 0.5000).

The total energy comes out at -25.948 eV/atom. The uncorrected formation energy is -4.0 eV per formula unit.


> Which of these has the highest total energy?

Be2AlSiRu